1.
Density functional theory data (PBE) for an optimized crystal structure of Pr4CdIn2.

The structure in extended XYZ format:
```
7
Lattice="-4.944 -2.173 0.806 -2.309 -3.052 -3.894 1.279 -8.888 2.379" Properties=species:S:1:pos:R:3 pbc="T T T"
In -1.538 -3.442 -0.218
In -4.436 -10.671 -0.490
Pr -0.157 -6.112 1.055
Pr -1.677 -9.588 0.853
Pr -4.297 -4.524 -1.562
Pr -5.817 -8.001 -1.764
Cd 0.000 0.000 0.000
```

Polymorph energy (0 for the lowest one) (eV/atom): 0.000
V (Å³ per atom): 32.23

---

2.
Density functional theory data (PBE) for an optimized crystal structure of PrCdIn6.

The structure in extended XYZ format:
```
8
Lattice="-2.050 -2.501 -3.004 6.127 -2.410 -2.175 -0.403 -5.181 4.590" Properties=species:S:1:pos:R:3 pbc="T T T"
In -1.227 -3.841 0.793
In 1.312 -4.453 2.813
In 2.038 -2.456 -2.589
In 1.503 -1.993 0.634
In 4.221 -5.598 1.781
In 4.411 -3.138 -0.398
Cd 1.837 -5.046 -0.295
Pr -1.025 -1.251 -1.502
```

V (Å³ per atom): 26.52
Total energy (eV/atom): -2.93

---

3.
Density functional theory data (PBE) for an optimized crystal structure of Pr2Cd2In.

The structure in extended XYZ format:
```
5
Lattice="6.490 1.668 3.822 3.710 5.580 3.822 1.184 0.842 5.970" Properties=species:S:1:pos:R:3 pbc="T T T"
Cd 4.793 3.406 5.905
Cd 6.591 4.684 7.709
Pr 8.263 5.872 10.277
Pr 3.121 2.218 3.338
In 0.000 0.000 0.000
```

Polymorph energy (0 for the lowest one) (eV/atom): 0.142
V (Å³ per atom): 30.53

---

4.
Density functional theory data (PBE) for an optimized crystal structure of PrCdIn2.

The structure in extended XYZ format:
```
4
Lattice="-1.770 -2.142 2.529 3.130 -0.137 2.074 -2.199 6.222 3.729" Properties=species:S:1:pos:R:3 pbc="T T T"
In -0.620 1.754 1.052
In -1.579 4.467 2.678
Cd -0.419 1.972 4.166
Pr 0.680 -1.139 2.302
```

Polymorph energy (0 for the lowest one) (eV/atom): 0.179
V (Å³ per atom): 26.75

---

5.
Density functional theory data (PBE) for an optimized crystal structure of Pr4Cd2In.

The structure in extended XYZ format:
```
7
Lattice="5.183 0.000 1.619 2.338 4.625 1.619 -0.039 -0.024 9.228" Properties=species:S:1:pos:R:3 pbc="T T T"
Cd 5.570 3.425 9.482
Cd 1.912 1.176 2.984
Pr 2.851 1.753 9.083
Pr 0.958 0.589 6.039
Pr 6.524 4.012 6.427
Pr 4.631 2.848 3.384
In 0.000 0.000 0.000
```

V (Å³ per atom): 31.65
Total energy (eV/atom): -3.60

---

6.
Density functional theory data (PBE) for an optimized crystal structure of PrCd3In.

The structure in extended XYZ format:
```
5
Lattice="4.541 0.521 0.002 -0.527 4.540 0.002 -2.006 -2.530 6.202" Properties=species:S:1:pos:R:3 pbc="T T T"
Cd 2.266 0.264 1.856
Cd -0.259 2.267 1.856
Cd -0.003 -0.004 0.139
Pr 0.000 0.000 4.888
In 2.011 2.535 3.635
```

V (Å³ per atom): 25.92
Total energy (eV/atom): -2.31